Computed, not measured: a relaxed Sm3WO6 crystal at the PBE+U level of DFT.

Magnetic moment ... 12.0 μB per cell
Uncorrected energy ... -7.985 eV per atom

Cell: 9.160 11.437 5.809 Å, 90.00 90.00 90.00°
Space group Cmc2_1 (No. 36)
Symmetry-distinct sites (fractional):
Sm 0.000 0.100 0.000 (multiplicity 4)
Sm 0.197 0.396 0.048 (multiplicity 8)
W 0.000 0.306 0.561 (multiplicity 4)
O 0.000 0.286 0.232 (multiplicity 4)
O 0.000 0.456 0.784 (multiplicity 4)
O 0.157 0.236 0.790 (multiplicity 8)
O 0.159 0.017 0.278 (multiplicity 8)